# NaGdCdTe3 (PBE, relaxed)
data_NaGdCdTe3
_chemical_formula_sum 'Na4 Gd4 Cd4 Te12'
_cell_length_a 14.815
_cell_length_b 4.426
_cell_length_c 11.989
_cell_angle_alpha 90.00
_cell_angle_beta 90.00
_cell_angle_gamma 90.00
_space_group_name_H-M_alt 'P n m a'
_space_group_IT_number 62
_space_group_name_Hall '-P 2ac 2n'
loop_
_atom_site_label
_atom_site_type_symbol
_atom_site_fract_x
_atom_site_fract_y
_atom_site_fract_z
Na1 Na 0.233 0.250 0.071
Gd1 Gd 0.018 0.250 0.344
Cd1 Cd 0.013 0.750 0.098
Te1 Te 0.111 0.750 0.880
Te2 Te 0.112 0.250 0.572
Te3 Te 0.150 0.750 0.258
# Density (g/cm³): 5.71
# Electronic total energy (eV/f.u.): -22.1
# Crystal system: orthorhombic
# Energy relative to the lowest polymorph listed for this composition (kcal/mol of atoms): 0.01